Arrangement w

A plane-wave DFT calculation with PBE was carried out for a relaxed LiAuI3 crystal.

Unit cell a=7.3450 b=7.4031 c=8.1933 alpha=84.32 beta=70.21 gamma=66.49
With the nearest neighbours (Å) after each atom.
Element x y z (fractional)
1 Li 0.2430 0.2959 0.0554  5 I 2.90-3.02, 1 Au 3.04
2 Li 0.7570 0.7041 0.9446  5 I 2.90-3.02, 1 Au 3.04
3 Au 0.2852 0.8123 0.0738  2 I 2.62-2.63
4 Au 0.7148 0.1877 0.9262  2 I 2.62-2.63
5 I 0.0922 0.5933 0.3485  1 I 2.90, 1 Au 2.94, 1 Li 3.02
6 I 0.1882 0.6651 0.8534  1 Au 2.62, 1 Li 2.90
7 I 0.4295 0.9571 0.2591  1 Au 2.63
8 I 0.5705 0.0429 0.7409  1 Au 2.63
9 I 0.8118 0.3349 0.1466  1 Au 2.62, 1 Li 2.90
10 I 0.9078 0.4067 0.6515  1 I 2.90, 1 Au 2.94, 1 Li 3.02

Density = 5.1 g cm⁻³
Space group = P-1

***

Arrangement x

A plane-wave DFT calculation with PBE was carried out for a relaxed LiAuI3 crystal.

Unit cell a=9.6480 b=6.4319 c=13.3142 alpha=90.00 beta=106.96 gamma=90.00
With the nearest neighbours (Å) after each atom.
Element x y z (fractional)
1 Li 0.1693 0.0821 0.2916  4 I 2.75-2.94
2 Li 0.1693 0.4179 0.7916  4 I 2.75-2.94
3 Li 0.8307 0.5821 0.2084  4 I 2.75-2.94
4 Li 0.8307 0.9179 0.7084  4 I 2.75-2.94
5 Au 0.2415 0.6443 0.0876  3 I 2.60-2.74
6 Au 0.2415 0.8557 0.5876  3 I 2.60-2.74
7 Au 0.7585 0.1443 0.4124  3 I 2.60-2.74
8 Au 0.7585 0.3557 0.9124  3 I 2.60-2.74
9 I 0.0147 0.6735 0.6324  1 Au 2.70, 2 Li 2.75-2.77
10 I 0.0147 0.8265 0.1324  1 Au 2.70, 2 Li 2.75-2.77
11 I 0.3507 0.1084 0.7583  1 Au 2.74, 1 Li 2.77
12 I 0.3507 0.3916 0.2583  1 Au 2.74, 1 Li 2.77
13 I 0.3787 0.6748 0.9470  1 Au 2.60
14 I 0.3787 0.8252 0.4470  1 Au 2.60
15 I 0.6213 0.1748 0.5530  1 Au 2.60
16 I 0.6213 0.3252 0.0530  1 Au 2.60
17 I 0.6493 0.6084 0.7417  1 Au 2.74, 1 Li 2.77
18 I 0.6493 0.8916 0.2417  1 Au 2.74, 1 Li 2.77
19 I 0.9853 0.1735 0.8676  1 Au 2.70, 2 Li 2.75-2.77
20 I 0.9853 0.3265 0.3676  1 Au 2.70, 2 Li 2.75-2.77

Density = 4.9 g cm⁻³
Space group = P2_1/c

***

Ranked by calculated energy, most stable first: arrangement w, arrangement x.

***

Arrangement w

A plane-wave DFT calculation with PBE was carried out for a relaxed LiAu2I6 crystal.

Unit cell a=10.3607 b=10.3607 c=7.4271 alpha=96.20 beta=96.20 gamma=85.08
With the nearest neighbours (Å) after each atom.
Element x y z (fractional)
1 Li 0.1627 0.8373 0.7500  4 I 2.77-2.83
2 Li 0.8373 0.1627 0.2500  4 I 2.77-2.83
3 Au 0.1590 0.3223 0.3961  4 I 2.71-2.78
4 Au 0.3223 0.1590 0.8961  4 I 2.71-2.78
5 Au 0.6777 0.8410 0.1039  4 I 2.71-2.78
6 Au 0.8410 0.6777 0.6039  4 I 2.71-2.78
7 I 0.0069 0.2881 0.0766  1 Au 2.71, 1 Li 2.77
8 I 0.0545 0.6958 0.4292  1 Au 2.71, 1 Li 2.83
9 I 0.2881 0.0069 0.5766  1 Au 2.71, 1 Li 2.77
10 I 0.3042 0.9455 0.0708  1 Au 2.71, 1 Li 2.83
11 I 0.3172 0.3774 0.7174  2 Au 2.74-2.78
12 I 0.3774 0.3172 0.2174  2 Au 2.74-2.78
13 I 0.6226 0.6828 0.7826  2 Au 2.74-2.78
14 I 0.6828 0.6226 0.2826  2 Au 2.74-2.78
15 I 0.6958 0.0545 0.9292  1 Au 2.71, 1 Li 2.83
16 I 0.7119 0.9931 0.4234  1 Au 2.71, 1 Li 2.77
17 I 0.9455 0.3042 0.5708  1 Au 2.71, 1 Li 2.83
18 I 0.9931 0.7119 0.9234  1 Au 2.71, 1 Li 2.77

Density = 4.9 g cm⁻³
Space group = C2/c

***

Arrangement x

A plane-wave DFT calculation with PBE was carried out for a relaxed LiAu2I6 crystal.

Unit cell a=9.4854 b=9.4854 c=7.5540 alpha=99.57 beta=99.57 gamma=83.46
With the nearest neighbours (Å) after each atom.
Element x y z (fractional)
1 Li 0.1040 0.8960 0.7500  6 I 2.88-3.02
2 Li 0.8960 0.1040 0.2500  6 I 2.88-3.02
3 Au 0.2343 0.3930 0.7041  4 I 2.71-2.75
4 Au 0.3930 0.2343 0.2041  4 I 2.71-2.75
5 Au 0.6070 0.7657 0.7959  4 I 2.71-2.75
6 Au 0.7657 0.6070 0.2959  4 I 2.71-2.75
7 I 0.0434 0.1856 0.6248  1 Au 2.75, 2 Li 2.96-3.02
8 I 0.1503 0.6377 0.9144  1 Au 2.71, 1 Li 2.88
9 I 0.1856 0.0434 0.1248  1 Au 2.75, 2 Li 2.96-3.02
10 I 0.2555 0.4721 0.3772  2 Au 2.72-2.74
11 I 0.3623 0.8497 0.5856  1 Au 2.71, 1 Li 2.88
12 I 0.4721 0.2555 0.8772  2 Au 2.72-2.74
13 I 0.5279 0.7445 0.1228  2 Au 2.72-2.74
14 I 0.6377 0.1503 0.4144  1 Au 2.71, 1 Li 2.88
15 I 0.7445 0.5279 0.6228  2 Au 2.72-2.74
16 I 0.8144 0.9566 0.8752  1 Au 2.75, 2 Li 2.96-3.02
17 I 0.8497 0.3623 0.0856  1 Au 2.71, 1 Li 2.88
18 I 0.9566 0.8144 0.3752  1 Au 2.75, 2 Li 2.96-3.02

Density = 5.9 g cm⁻³
Space group = C2/c

***

Ranked by calculated energy, most stable first: arrangement w, arrangement x.